No. 1
Compound: Ca2MnSn4Pt3
Source: Alexandria via LeMat-Bulk
Functional: GGA-PBE
Structure: relaxed

Total energy ... -5.33 eV per atom
Size of the total moment ... 0.337 μB per atom
Space group ... P-4m2
Mass density ... 8.76 g/cm³

Cell lengths 4.438, 4.438, 11.508 Å; angles 90.00, 90.00, 90.00 degrees
Positions (direct):
Ca 0.000 0.500 0.244
Ca 0.500 0.000 0.756
Mn 0.500 0.500 0.000
Sn 0.000 0.000 0.500
Sn 0.000 0.500 0.865
Sn 0.500 0.000 0.135
Sn 0.500 0.500 0.500
Pt 0.000 0.000 0.000
Pt 0.000 0.500 0.636
Pt 0.500 0.000 0.364

No. 2
Compound: LiPrTe
Source: Alexandria via LeMat-Bulk
Functional: GGA-PBE
Structure: relaxed

Total energy ... -4.31 eV per atom
Size of the total moment ... 0.000 μB per atom
Distance to the lowest polymorph of the same formula ... 0.000 eV per atom
Space group ... I4/mmm
Mass density ... 5.84 g/cm³
ΔE_f (raw) ... -298 kJ/mol of formula units

Cell lengths 8.719, 8.719, 8.719 Å; angles 150.86, 150.86, 41.67 degrees
Positions (direct):
Li 0.000 0.500 0.500
Li 0.500 0.000 0.500
Pr 0.176 0.176 0.000
Pr 0.824 0.824 0.000
Te 0.376 0.376 0.000
Te 0.624 0.624 0.000

No. 3
Compound: AcNdMnN4
Source: Alexandria via LeMat-Bulk
Functional: GGA-PBE
Structure: relaxed

Total energy ... -8.23 eV per atom
Size of the total moment ... 0.136 μB per atom
Space group ... P2_1/m
Mass density ... 7.32 g/cm³
ΔE_f (raw) ... -605 kJ/mol of formula units

Cell lengths 5.730, 5.572, 7.242 Å; angles 90.00, 108.83, 90.00 degrees
Positions (direct):
Ac 0.210 0.250 0.428
Ac 0.790 0.750 0.572
Nd 0.288 0.250 0.960
Nd 0.712 0.750 0.040
Mn 0.268 0.750 0.193
Mn 0.732 0.250 0.807
N 0.076 0.750 0.339
N 0.105 0.750 0.949
N 0.468 0.507 0.249
N 0.468 0.993 0.249
N 0.532 0.007 0.751
N 0.532 0.493 0.751
N 0.895 0.250 0.051
N 0.924 0.250 0.661

No. 4
Compound: NaTi2Al2
Source: Alexandria via LeMat-Bulk
Functional: GGA-PBE
Structure: relaxed

Total energy ... -4.94 eV per atom
Size of the total moment ... 0.000 μB per atom
Distance to the lowest polymorph of the same formula ... 0.000 eV per atom
Space group ... P4/mbm
Mass density ... 2.99 g/cm³

Cell lengths 8.267, 8.267, 2.802 Å; angles 90.00, 90.00, 90.00 degrees
Positions (direct):
Na 0.000 0.000 0.000
Na 0.500 0.500 0.000
Ti 0.115 0.385 0.000
Ti 0.385 0.885 0.000
Ti 0.615 0.115 0.000
Ti 0.885 0.615 0.000
Al 0.178 0.678 0.500
Al 0.322 0.178 0.500
Al 0.678 0.822 0.500
Al 0.822 0.322 0.500

No. 5
Compound: Sr3CdAs2Pd9
Source: Alexandria via LeMat-Bulk
Functional: GGA-PBE
Structure: relaxed

Total energy ... -4.55 eV per atom
Size of the total moment ... 0.000 μB per atom
Space group ... P-3m1
Mass density ... 7.09 g/cm³

Cell lengths 6.912, 6.912, 8.396 Å; angles 90.00, 90.00, 120.00 degrees
Positions (direct):
Sr 0.000 0.000 0.000
Sr 0.333 0.667 0.698
Sr 0.667 0.333 0.302
Cd 0.000 0.000 0.500
As 0.333 0.667 0.162
As 0.667 0.333 0.838
Pd 0.000 0.500 0.000
Pd 0.199 0.398 0.382
Pd 0.199 0.801 0.382
Pd 0.398 0.199 0.618
Pd 0.500 0.000 0.000
Pd 0.500 0.500 0.000
Pd 0.602 0.801 0.382
Pd 0.801 0.199 0.618
Pd 0.801 0.602 0.618

No. 6
Compound: RbMn3W
Source: Alexandria via LeMat-Bulk
Functional: GGA-PBE
Structure: relaxed

Total energy ... -6.99 eV per atom
Size of the total moment ... 2.004 μB per atom
Distance to the lowest polymorph of the same formula ... 0.000 eV per atom
Space group ... Pm-3m
Mass density ... 5.75 g/cm³

Cell lengths 5.006, 5.006, 5.006 Å; angles 90.00, 90.00, 90.00 degrees
Positions (direct):
Rb 0.000 0.000 0.000
Mn 0.000 0.500 0.500
Mn 0.500 0.000 0.500
Mn 0.500 0.500 0.000
W 0.500 0.500 0.500

No. 7
Compound: La3ErSe6
Source: Alexandria via LeMat-Bulk
Functional: GGA-PBE
Structure: relaxed

Total energy ... -5.98 eV per atom
Size of the total moment ... 0.000 μB per atom
Distance to the lowest polymorph of the same formula ... 0.024 eV per atom
Space group ... P2_1/c
Mass density ... 5.87 g/cm³
ΔE_f (raw) ... -1885 kJ/mol of formula units

Cell lengths 7.137, 7.839, 12.685 Å; angles 90.00, 122.59, 90.00 degrees
Positions (direct):
La 0.000 0.000 0.000
La 0.000 0.500 0.500
La 0.295 0.098 0.754
La 0.295 0.402 0.254
La 0.705 0.598 0.746
La 0.705 0.902 0.246
Er 0.500 0.000 0.500
Er 0.500 0.500 0.000
Se 0.105 0.060 0.259
Se 0.105 0.440 0.759
Se 0.263 0.680 0.080
Se 0.263 0.820 0.580
Se 0.409 0.190 0.077
Se 0.409 0.310 0.577
Se 0.591 0.690 0.423
Se 0.591 0.810 0.923
Se 0.737 0.180 0.420
Se 0.737 0.320 0.920
Se 0.895 0.560 0.241
Se 0.895 0.940 0.741

No. 8
Compound: TbHo3Tm2
Source: Alexandria via LeMat-Bulk
Functional: GGA-PBE
Structure: relaxed

Total energy ... -4.55 eV per atom
Size of the total moment ... 0.000 μB per atom
Distance to the lowest polymorph of the same formula ... 0.000 eV per atom
Space group ... C2/c
Mass density ... 8.95 g/cm³

Cell lengths 9.402, 9.402, 6.131 Å; angles 102.57, 102.57, 44.28 degrees
Positions (direct):
Tb 0.125 0.875 0.750
Tb 0.875 0.125 0.250
Ho 0.208 0.457 0.471
Ho 0.375 0.625 0.250
Ho 0.457 0.208 0.971
Ho 0.543 0.792 0.029
Ho 0.625 0.375 0.750
Ho 0.792 0.543 0.529
Tm 0.042 0.293 0.028
Tm 0.293 0.042 0.528
Tm 0.707 0.958 0.472
Tm 0.958 0.707 0.972

No. 9
Compound: TlFe2Ir
Source: Alexandria via LeMat-Bulk
Functional: GGA-PBE
Structure: relaxed

Total energy ... -6.66 eV per atom
Size of the total moment ... 1.464 μB per atom
Distance to the lowest polymorph of the same formula ... 0.041 eV per atom
Space group ... I-4m2
Mass density ... 13.82 g/cm³

Cell lengths 4.790, 4.790, 4.790 Å; angles 131.08, 131.08, 71.68 degrees
Positions (direct):
Tl 0.000 0.000 0.000
Fe 0.250 0.750 0.500
Fe 0.500 0.500 0.000
Ir 0.750 0.250 0.500

No. 10
Compound: Ac4Te3Pt
Source: Alexandria via LeMat-Bulk
Functional: GGA-PBE
Structure: relaxed

Total energy ... -5.39 eV per atom
Size of the total moment ... 0.000 μB per atom
Space group ... Cmmm
Mass density ... 8.40 g/cm³
ΔE_f (raw) ... -1086 kJ/mol of formula units

Cell lengths 8.268, 8.268, 4.522 Å; angles 90.00, 90.00, 108.19 degrees
Positions (direct):
Ac 0.215 0.215 0.500
Ac 0.240 0.760 0.000
Ac 0.760 0.240 0.000
Ac 0.785 0.785 0.500
Te 0.000 0.500 0.500
Te 0.500 0.000 0.500
Te 0.500 0.500 0.000
Pt 0.000 0.000 0.000

No. 11
Compound: NaSiP2S
Source: Alexandria via LeMat-Bulk
Functional: GGA-PBE
Structure: relaxed

Total energy ... -4.05 eV per atom
Size of the total moment ... 0.000 μB per atom
Distance to the lowest polymorph of the same formula ... 0.000 eV per atom
Space group ... P4/mmm
Mass density ... 2.41 g/cm³
ΔE_f (raw) ... 140 kJ/mol of formula units

Cell lengths 4.550, 4.550, 4.829 Å; angles 90.00, 90.00, 90.00 degrees
Positions (direct):
Na 0.000 0.000 0.000
Si 0.500 0.500 0.500
P 0.000 0.500 0.500
P 0.500 0.000 0.500
S 0.500 0.500 0.000

No. 12
Compound: AcTbEr
Source: Alexandria via LeMat-Bulk
Functional: GGA-PBE
Structure: relaxed

Total energy ... -4.36 eV per atom
Size of the total moment ... 0.000 μB per atom
Distance to the lowest polymorph of the same formula ... 0.008 eV per atom
Space group ... P2_1/c
Mass density ... 8.67 g/cm³

Cell lengths 6.481, 11.989, 6.197 Å; angles 90.00, 118.34, 90.00 degrees
Positions (direct):
Ac 0.168 0.133 0.157
Ac 0.168 0.367 0.657
Ac 0.832 0.633 0.343
Ac 0.832 0.867 0.843
Tb 0.186 0.615 0.013
Tb 0.186 0.885 0.513
Tb 0.814 0.115 0.487
Tb 0.814 0.385 0.987
Er 0.483 0.617 0.660
Er 0.483 0.883 0.160
Er 0.517 0.117 0.840
Er 0.517 0.383 0.340

No. 13
Compound: Np2P4Ru5
Source: Alexandria via LeMat-Bulk
Functional: GGA-PBE
Structure: relaxed

Total energy ... -9.04 eV per atom
Size of the total moment ... 0.726 μB per atom
Space group ... Fmmm
Mass density ... 10.21 g/cm³

Cell lengths 7.999, 6.721, 5.912 Å; angles 78.28, 55.36, 46.36 degrees
Positions (direct):
Np 0.127 0.127 0.873
Np 0.873 0.873 0.127
P 0.219 0.500 0.500
P 0.500 0.219 0.781
P 0.500 0.781 0.219
P 0.781 0.500 0.500
Ru 0.000 0.000 0.500
Ru 0.250 0.250 0.250
Ru 0.500 0.500 0.000
Ru 0.500 0.500 0.500
Ru 0.750 0.750 0.750

No. 14
Compound: DyMgSi2
Source: Alexandria via LeMat-Bulk
Functional: GGA-PBE
Structure: relaxed

Total energy ... -4.59 eV per atom
Size of the total moment ... 0.000 μB per atom
Space group ... P4/mmm
Mass density ... 5.27 g/cm³
ΔE_f (raw) ... -126 kJ/mol of formula units

Cell lengths 4.357, 4.357, 4.030 Å; angles 90.00, 90.00, 90.00 degrees
Positions (direct):
Dy 0.000 0.000 0.000
Mg 0.500 0.500 0.000
Si 0.000 0.500 0.500
Si 0.500 0.000 0.500

No. 15
Compound: CaOs2
Source: Alexandria via LeMat-Bulk
Functional: GGA-PBE
Structure: relaxed

Total energy ... -7.78 eV per atom
Size of the total moment ... 0.000 μB per atom
Space group ... C2/m
Mass density ... 12.73 g/cm³

Cell lengths 5.821, 5.821, 6.948 Å; angles 103.80, 103.80, 28.73 degrees
Positions (direct):
Ca 0.004 0.004 0.280
Ca 0.996 0.996 0.720
Os 0.272 0.272 0.358
Os 0.331 0.331 0.952
Os 0.669 0.669 0.048
Os 0.728 0.728 0.642

No. 16
Compound: HoH5Pd4
Source: Alexandria via LeMat-Bulk
Functional: GGA-PBE
Structure: relaxed

Total energy ... -4.47 eV per atom
Size of the total moment ... 0.000 μB per atom
Space group ... Pmmn
Mass density ... 8.90 g/cm³

Cell lengths 5.511, 7.974, 5.061 Å; angles 90.00, 90.00, 90.00 degrees
Positions (direct):
Ho 0.250 0.250 0.161
Ho 0.750 0.750 0.839
H 0.022 0.576 0.157
H 0.022 0.924 0.157
H 0.250 0.750 0.641
H 0.478 0.576 0.157
H 0.478 0.924 0.157
H 0.522 0.076 0.843
H 0.522 0.424 0.843
H 0.750 0.250 0.359
H 0.978 0.076 0.843
H 0.978 0.424 0.843
Pd 0.009 0.750 0.372
Pd 0.250 0.562 0.869
Pd 0.250 0.938 0.869
Pd 0.491 0.750 0.372
Pd 0.509 0.250 0.628
Pd 0.750 0.062 0.131
Pd 0.750 0.438 0.131
Pd 0.991 0.250 0.628